Entry from the Alexandria database: Tl4SnTe4 after structural relaxation (PBE).

```
9
Lattice="-4.062 4.062 5.818 4.062 -4.062 5.818 4.062 4.062 -5.818" Properties=species:S:1:pos:R:3 pbc="T T T"
Tl 4.062 0.000 0.000
Tl 0.000 0.000 1.750
Tl 0.000 4.062 0.000
Tl 0.000 0.000 9.886
Sn 0.000 0.000 5.818
Te 1.575 -1.575 4.100
Te 2.487 2.487 1.718
Te -1.575 1.575 4.100
Te 1.575 1.575 7.536
```

Values from the calculation:
**DFT total energy**: -28.1 eV per formula unit
**Symmetry**: No. 121